4
Lattice="4.8018 0.0000 0.0000 2.4009 4.1585 0.0000 2.4009 1.3862 3.9207" Properties=species:S:1:pos:R:3 comment="LiCeMgRh, relaxed, DFT PBE-GGA" dos_at_fermi_per_ev_cell=6.08 e_form_ev_per_fu=-1.24 pbc="T T T"
Mg 0.0000 0.0000 0.0000
Ce 4.8018 2.7723 1.9603
Li 2.4009 1.3862 0.9802
Rh 7.2028 4.1585 2.9405